DFT (PBE-GGA) results for a geometry-optimized CsU2AuSe4 structure.

- Formation energy without anion corrections: -927 meV/atom
- Raw total energy: -6.0076 eV per atom

Lattice parameters (Å, degrees): 4.285 14.663 14.809 90.00 90.00 90.00
Space group Cmcm (No. 63)
Unique sites:
Cs 0.000 0.118 0.250 x4
U 0.000 0.371 0.063 x8
Au 0.000 0.160 0.750 x4
Se 0.000 0.000 0.000 x4
Se 0.000 0.259 0.600 x8
Se 0.000 0.438 0.250 x4